# 1
Entry from Alexandria via LeMat-Bulk: a relaxed structure of NaAcAgTe (PBE).

The structure in extended XYZ format:
```
4
Lattice="0.0000 3.9159 3.9159 3.9159 0.0000 3.9159 3.9159 3.9159 0.0000" Properties=species:S:1:pos:R:3 pbc="T T T"
Na 0.0000 0.0000 0.0000
Ac 3.9159 3.9159 3.9159
Ag 1.9580 1.9580 1.9580
Te 5.8739 5.8739 5.8739
```

Its formation energy without anion corrections is -0.572 eV/atom. The value obtained for the total moment is 0.0 μB/f.u. The value obtained for the calculated density is 6.7 Mg/m³.

---

# 2
Entry from Alexandria via LeMat-Bulk: a relaxed structure of Na2Ac3Tl4Ag2 (PBE).

The structure in extended XYZ format:
```
11
Lattice="5.1081 0.0000 0.0000 -2.5540 4.4237 0.0000 0.0000 0.0000 15.8855" Properties=species:S:1:pos:R:3 pbc="T T T"
Na 0.0000 2.9492 1.0025
Na 2.5540 1.4746 14.8830
Ac 0.0000 0.0000 4.0618
Ac 0.0000 0.0000 7.9428
Ac 0.0000 0.0000 11.8237
Tl 0.0000 2.9492 6.0796
Tl 0.0000 2.9492 13.5200
Tl 2.5540 1.4746 2.3655
Tl 2.5540 1.4746 9.8060
Ag 0.0000 2.9492 10.0928
Ag 2.5540 1.4746 5.7927
```

The value obtained for the total moment is 0.0 μB/f.u. The value obtained for the calculated density is 8.1 Mg/m³. Its calculated formation energy is -0.175 eV per atom.

---

# 3
Entry from Alexandria via LeMat-Bulk: a relaxed structure of Ac2Nd3Ag4 (PBE).

The structure in extended XYZ format:
```
18
Lattice="9.2631 0.0000 0.0000 0.0000 7.9782 0.0000 -2.5835 0.0000 7.4039" Properties=species:S:1:pos:R:3 pbc="T T T"
Ac 1.6005 1.3914 0.4330
Ac 0.3088 2.5977 4.1349
Ac 6.3708 5.3805 3.2690
Ac 5.0791 6.5868 6.9709
Nd 1.6467 5.3802 1.7234
Nd 0.3550 6.5871 5.4253
Nd 3.3398 0.0000 3.7020
Nd 4.6316 3.9891 0.0000
Nd 6.3246 1.3911 1.9786
Nd 5.0329 2.5980 5.6805
Ag -1.5993 4.2961 6.2969
Ag -0.3075 7.6712 2.5949
Ag 2.3144 1.0258 6.4625
Ag 3.6062 2.9633 2.7605
Ag 3.0735 5.0149 4.6434
Ag 4.3652 6.9524 0.9414
Ag 6.9872 0.3070 4.8090
Ag 8.2789 3.6821 1.1070
```

The value obtained for the total moment is 0.0 μB/f.u. The value obtained for the calculated density is 8.0 Mg/m³. Its calculated formation energy is -0.196 eV per atom.

---

# 4
Entry from Alexandria via LeMat-Bulk: a relaxed structure of AcNdAg (PBE).

The structure in extended XYZ format:
```
6
Lattice="2.1523 -6.2483 0.0000 2.1523 6.2483 0.0000 0.0000 0.0000 7.6255" Properties=species:S:1:pos:R:3 pbc="T T T"
Ac 0.0000 0.0000 0.0000
Ac 0.0000 0.0000 3.8128
Nd 2.1523 2.5751 5.7191
Nd 2.1523 -2.5751 1.9064
Ag 2.1523 1.4895 1.9064
Ag 2.1523 -1.4895 5.7191
```

The value obtained for the total moment is 0.0 μB/f.u. The value obtained for the calculated density is 7.8 Mg/m³. The calculation puts the distance to the lowest polymorph of the same formula at 84 meV/atom. Its calculated formation energy is -0.051 eV per atom.

---

# 5
Entry from Alexandria via LeMat-Bulk: a relaxed structure of Ac2NdAg9 (PBE).

The structure in extended XYZ format:
```
12
Lattice="2.9041 1.6767 9.5595 -2.9041 1.6767 9.5595 0.0000 -3.3534 9.5595" Properties=species:S:1:pos:R:3 pbc="T T T"
Ac 0.0000 0.0000 3.9936
Ac 0.0000 0.0000 24.6850
Nd 0.0000 0.0000 0.0000
Ag -1.4537 -0.8393 11.8834
Ag 0.0000 0.0000 9.5444
Ag 0.0000 -1.6786 16.7951
Ag -1.4537 0.8393 16.7951
Ag 0.0000 0.0000 14.3393
Ag 1.4537 -0.8393 11.8834
Ag 0.0000 1.6786 11.8834
Ag 0.0000 0.0000 19.1342
Ag 1.4537 0.8393 16.7951
```

The value obtained for the total moment is 0.0 μB/f.u. The value obtained for the calculated density is 9.3 Mg/m³. Its calculated formation energy is -0.150 eV per atom.

---

# 6
Entry from Alexandria via LeMat-Bulk: a relaxed structure of AcNdAg2 (PBE).

The structure in extended XYZ format:
```
4
Lattice="2.1126 1.2197 8.2852 -2.1126 1.2197 8.2852 0.0000 -2.4394 8.2852" Properties=species:S:1:pos:R:3 pbc="T T T"
Ac 0.0000 0.0000 0.0000
Nd 0.0000 0.0000 12.4278
Ag 0.0000 0.0000 6.0966
Ag 0.0000 0.0000 18.7590
```

The value obtained for the total moment is 0.0 μB/f.u. The value obtained for the calculated density is 7.6 Mg/m³. The calculation puts the distance to the lowest polymorph of the same formula at 198 meV/atom. Its calculated formation energy is -0.058 eV per atom.

---

Calculated volume per entry: 120.10; 358.96; 273.58; 102.55; 279.29; 128.09 Å³/f.u.